A relaxed Ce3H crystal, computed with PBE-GGA.

Cell lengths 3.4339, 3.4339, 7.5900 Å; angles 103.07, 103.07, 90.00 degrees
Fractional coordinates of all 4 atoms:
H 0.0000 0.0000 0.0000
Ce 0.5000 0.5000 0.0000
Ce 0.1715 0.1715 0.3430
Ce 0.8285 0.8285 0.6570

## Properties
**E above lowest polymorph**: 0 meV per atom
**Calculated total energy**: -5.44 eV per atom